[1]
Cd2CuAg PBEsol relaxed; raw total energy = -2.490 eV/atom; M_tot = 0.00 μB/cell; E_form = 19 meV/atom
1.0
3.186 -3.353 0.000
3.186 3.353 0.000
0.000 0.000 3.159
Cd Cu Ag
2 1 1
Cartesian
1.593 1.676 0.000
1.593 -1.676 0.000
0.000 0.000 1.579
3.186 0.000 1.579

[2]
Al2Mo PBEsol relaxed; raw total energy = -6.664 eV/atom; M_tot = 0.00 μB/cell; E_form = -14 meV/atom
1.0
2.836 0.000 0.000
-1.418 2.456 0.000
0.000 0.000 6.693
Al Mo
2 1
Cartesian
0.000 1.638 2.184
1.418 0.819 4.509
0.000 0.000 0.000